(1)
Cs4Hg2H (PBE, optimized geometry); ρ = 4.28 g/cm³; excess energy over the best structure of this formula in the dataset = 21.5 meV/atom; space group = No. 139
1.0
-3.009 3.009 10.008
3.009 -3.009 10.008
3.009 3.009 -10.008
Cs Hg H
4 2 1
Direct
0.000 0.500 0.500
0.173 0.173 0.000
0.500 0.000 0.500
0.827 0.827 0.000
0.369 0.369 0.000
0.631 0.631 0.000
0.000 0.000 0.000



(2)
Ho4Cd2InRh (PBE, optimized geometry); ρ = 9.44 g/cm³; space group = No. 166
1.0
2.590 1.495 8.345
-2.590 1.495 8.345
0.000 -2.991 8.345
Ho Cd In Rh
4 2 1 1
Direct
0.115 0.115 0.115
0.368 0.368 0.368
0.632 0.632 0.632
0.885 0.885 0.885
0.243 0.243 0.243
0.757 0.757 0.757
0.500 0.500 0.500
0.000 0.000 0.000



(3)
LaThIrAu (PBE, optimized geometry); ρ = 12.85 g/cm³; excess energy over the best structure of this formula in the dataset = 165.3 meV/atom; space group = No. 216
1.0
0.000 3.662 3.662
3.662 0.000 3.662
3.662 3.662 0.000
La Th Ir Au
1 1 1 1
Direct
0.000 0.000 0.000
0.500 0.500 0.500
0.250 0.250 0.250
0.750 0.750 0.750



(4)
La6PSe3S2 (PBE, optimized geometry); ρ = 5.91 g/cm³; E_form (uncorrected) = -2.02 eV per atom; space group = No. 12
1.0
9.296 -2.117 0.000
9.296 2.117 0.000
-2.052 0.000 8.318
La P Se S
6 1 3 2
Direct
0.003 0.003 0.239
0.330 0.330 0.427
0.338 0.338 0.908
0.662 0.662 0.092
0.670 0.670 0.573
0.997 0.997 0.761
0.500 0.500 0.000
0.167 0.167 0.832
0.500 0.500 0.500
0.833 0.833 0.168
0.167 0.167 0.333
0.833 0.833 0.667



(5)
La2NdSm6Y3 (PBE, optimized geometry); ρ = 6.45 g/cm³; space group = No. 12
1.0
3.154 -5.466 0.000
3.154 5.466 0.000
-2.108 0.000 11.877
La Nd Sm Y
2 1 6 3
Direct
0.167 0.833 0.000
0.833 0.167 0.000
0.500 0.500 0.000
0.082 0.415 0.745
0.252 0.252 0.255
0.415 0.082 0.745
0.585 0.918 0.255
0.748 0.748 0.745
0.918 0.585 0.255
0.000 0.000 0.500
0.334 0.666 0.500
0.666 0.334 0.500



(6)
CuTcMo2Pb (PBE, optimized geometry); ρ = 7.54 g/cm³; space group = No. 123
1.0
5.006 0.000 0.000
0.000 5.006 0.000
0.000 0.000 4.926
Cu Tc Mo Pb
1 1 2 1
Direct
0.000 0.000 0.000
0.500 0.500 0.000
0.000 0.500 0.500
0.500 0.000 0.500
0.500 0.500 0.500



(7)
LiTh2Hg4 (PBE, optimized geometry); ρ = 10.97 g/cm³; excess energy over the best structure of this formula in the dataset = 0.0 meV/atom; space group = No. 166
1.0
2.597 1.499 8.254
-2.597 1.499 8.254
0.000 -2.999 8.254
Li Th Hg
1 2 4
Direct
0.000 0.000 0.000
0.249 0.249 0.249
0.751 0.751 0.751
0.122 0.122 0.122
0.378 0.378 0.378
0.622 0.622 0.622
0.878 0.878 0.878



(8)
AcNd4DyTm2 (PBE, optimized geometry); ρ = 7.83 g/cm³; space group = No. 12
1.0
5.768 -2.587 0.000
5.768 2.587 0.000
-4.672 0.000 9.265
Ac Nd Dy Tm
1 4 1 2
Direct
0.000 0.000 0.000
0.247 0.247 0.869
0.251 0.251 0.379
0.749 0.749 0.621
0.753 0.753 0.131
0.000 0.000 0.500
0.499 0.499 0.257
0.501 0.501 0.743



(9)
InGaFe2N (PBE, optimized geometry); ρ = 7.41 g/cm³; E_form (uncorrected) = 0.45 eV per atom; space group = No. 123
1.0
3.781 0.000 0.000
0.000 3.781 0.000
0.000 0.000 4.862
In Ga Fe N
1 1 2 1
Direct
0.000 0.000 0.000
0.500 0.500 0.000
0.000 0.500 0.500
0.500 0.000 0.500
0.000 0.000 0.500



(10)
PrPuTl (PBE, optimized geometry); ρ = 10.71 g/cm³; excess energy over the best structure of this formula in the dataset = 0.0 meV/atom; space group = No. 107
1.0
-1.889 1.889 6.402
1.889 -1.889 6.402
1.889 1.889 -6.402
Pr Pu Tl
1 1 1
Direct
0.000 0.000 0.000
0.315 0.315 0.000
0.662 0.662 0.000



(11)
MgZr2Ta (PBE, optimized geometry); ρ = 7.69 g/cm³; space group = No. 123
1.0
4.438 0.000 0.000
0.000 4.438 0.000
0.000 0.000 4.254
Mg Zr Ta
1 2 1
Direct
0.000 0.000 0.000
0.000 0.500 0.500
0.500 0.000 0.500
0.500 0.500 0.000



(12)
Cd3Cu2Br8 (PBE, optimized geometry); ρ = 4.58 g/cm³; E_form (uncorrected) = -0.67 eV per atom; space group = No. 12
1.0
7.444 -4.040 0.000
7.444 4.040 0.000
-2.227 0.000 6.653
Cd Cu Br
3 2 8
Direct
0.000 0.000 0.000
0.253 0.747 0.500
0.747 0.253 0.500
0.405 0.405 0.939
0.595 0.595 0.061
0.111 0.111 0.742
0.131 0.638 0.753
0.362 0.869 0.247
0.383 0.383 0.263
0.617 0.617 0.737
0.638 0.131 0.753
0.869 0.362 0.247
0.889 0.889 0.258



(13)
Ac3Pt2Au4 (PBE, optimized geometry); ρ = 13.19 g/cm³; space group = No. 12
1.0
6.028 -2.242 0.000
6.028 2.242 0.000
-3.913 0.000 8.661
Ac Pt Au
3 2 4
Direct
0.000 0.000 0.000
0.320 0.320 0.355
0.680 0.680 0.645
0.385 0.385 0.729
0.615 0.615 0.271
0.028 0.028 0.369
0.272 0.272 0.929
0.728 0.728 0.071
0.972 0.972 0.631



(14)
Hf8BSb2 (PBE, optimized geometry); ρ = 12.34 g/cm³; E_form (uncorrected) = -0.13 eV per atom; space group = No. 12
1.0
8.336 -2.425 0.000
8.336 2.425 0.000
-1.764 0.000 5.597
Hf B Sb
8 1 2
Direct
0.013 0.013 0.251
0.220 0.220 0.125
0.365 0.365 0.729
0.416 0.416 0.269
0.584 0.584 0.731
0.635 0.635 0.271
0.780 0.780 0.875
0.987 0.987 0.749
0.500 0.500 0.000
0.175 0.175 0.607
0.825 0.825 0.393



(15)
Pu2Al12Ru (PBE, optimized geometry); ρ = 5.28 g/cm³; space group = No. 125
1.0
5.923 0.000 0.000
0.000 5.923 0.000
0.000 0.000 16.353
Pu Al Ru
4 24 2
Direct
0.250 0.750 0.243
0.250 0.750 0.757
0.750 0.250 0.243
0.750 0.250 0.757
0.000 0.000 0.085
0.000 0.000 0.915
0.000 0.500 0.085
0.000 0.500 0.915
0.079 0.579 0.430
0.079 0.921 0.570
0.250 0.250 0.187
0.250 0.250 0.338
0.250 0.250 0.662
0.250 0.250 0.813
0.421 0.579 0.570
0.421 0.921 0.430
0.500 0.000 0.085
0.500 0.000 0.915
0.500 0.500 0.085
0.500 0.500 0.915
0.579 0.079 0.570
0.579 0.421 0.430
0.750 0.750 0.187
0.750 0.750 0.338
0.750 0.750 0.662
0.750 0.750 0.813
0.921 0.079 0.430
0.921 0.421 0.570
0.250 0.750 0.000
0.750 0.250 0.000



(16)
ZnCdAg3 (PBE, optimized geometry); ρ = 8.93 g/cm³; excess energy over the best structure of this formula in the dataset = 43.2 meV/atom; space group = No. 62
1.0
7.027 0.000 0.000
0.000 7.008 0.000
0.000 0.000 7.576
Zn Cd Ag
4 4 12
Direct
0.192 0.250 0.084
0.308 0.750 0.584
0.692 0.250 0.416
0.808 0.750 0.916
0.000 0.000 0.500
0.000 0.500 0.500
0.500 0.000 0.000
0.500 0.500 0.000
0.128 0.547 0.853
0.128 0.953 0.853
0.155 0.750 0.191
0.345 0.250 0.691
0.372 0.047 0.353
0.372 0.453 0.353
0.628 0.547 0.647
0.628 0.953 0.647
0.655 0.750 0.309
0.845 0.250 0.809
0.872 0.047 0.147
0.872 0.453 0.147



(17)
Cr2NiPt (PBE, optimized geometry); ρ = 11.24 g/cm³; space group = No. 10
1.0
4.360 0.000 0.000
0.000 2.809 0.000
-1.207 0.000 4.316
Cr Ni Pt
2 1 1
Direct
0.000 0.000 0.000
0.500 0.500 0.000
0.000 0.500 0.500
0.500 0.000 0.500



(18)
HPb (PBE, optimized geometry); ρ = 8.90 g/cm³; excess energy over the best structure of this formula in the dataset = 134.3 meV/atom; space group = No. 216
1.0
0.000 2.688 2.688
2.688 0.000 2.688
2.688 2.688 0.000
H Pb
1 1
Direct
0.000 0.000 0.000
0.750 0.750 0.750



(19)
SrNd2MgTl4 (PBE, optimized geometry); ρ = 8.49 g/cm³; space group = No. 166
1.0
2.712 1.566 9.355
-2.712 1.566 9.355
0.000 -3.131 9.355
Sr Nd Mg Tl
1 2 1 4
Direct
0.000 0.000 0.000
0.240 0.240 0.240
0.760 0.760 0.760
0.500 0.500 0.500
0.124 0.124 0.124
0.380 0.380 0.380
0.620 0.620 0.620
0.876 0.876 0.876



(20)
BaTh2S4 (PBE, optimized geometry); ρ = 6.21 g/cm³; E_form (uncorrected) = -1.94 eV per atom; space group = No. 63
1.0
2.091 -6.774 0.000
2.091 6.774 0.000
0.000 0.000 13.776
Ba Th S
2 4 8
Direct
0.114 0.886 0.750
0.886 0.114 0.250
0.375 0.625 0.561
0.375 0.625 0.939
0.625 0.375 0.061
0.625 0.375 0.439
0.000 0.000 0.000
0.000 0.000 0.500
0.261 0.739 0.113
0.261 0.739 0.387
0.441 0.559 0.750
0.559 0.441 0.250
0.739 0.261 0.613
0.739 0.261 0.887



(21)
TbTm6Sc3 (PBE, optimized geometry); ρ = 7.53 g/cm³; excess energy over the best structure of this formula in the dataset = 0.0 meV/atom; space group = No. 36
1.0
4.643 -10.064 0.000
4.643 10.064 0.000
0.000 0.000 6.167
Tb Tm Sc
2 12 6
Direct
0.160 0.840 0.500
0.840 0.160 0.000
0.015 0.985 0.718
0.104 0.541 0.186
0.263 0.377 0.934
0.303 0.697 0.724
0.377 0.263 0.434
0.459 0.896 0.186
0.541 0.104 0.686
0.623 0.737 0.934
0.697 0.303 0.224
0.737 0.623 0.434
0.896 0.459 0.686
0.985 0.015 0.218
0.042 0.295 0.528
0.295 0.042 0.028
0.417 0.583 0.410
0.583 0.417 0.910
0.705 0.958 0.528
0.958 0.705 0.028



(22)
Ba2Hg8Sb (PBE, optimized geometry); ρ = 10.01 g/cm³; E_form (uncorrected) = -0.33 eV per atom; space group = No. 12
1.0
4.305 -9.091 0.000
4.305 9.091 0.000
-3.513 0.000 4.239
Ba Hg Sb
2 8 1
Direct
0.109 0.891 0.000
0.891 0.109 0.000
0.080 0.447 0.764
0.246 0.246 0.746
0.327 0.673 0.500
0.447 0.080 0.764
0.553 0.920 0.236
0.673 0.327 0.500
0.754 0.754 0.254
0.920 0.553 0.236
0.500 0.500 0.500



Calculated E_tot (eV per atom), listed in the same order as above: -1.187; -4.271; -6.773; -6.493; -5.176; -5.161; -2.690; -4.554; -5.756; -7.184; -7.495; -2.539; -5.071; -8.730; -5.730; -2.122; -7.792; -3.041; -3.082; -6.690; -4.921; -1.270